Nd2PaCo3O12 | PBE with a Hubbard U | optimized geometry

```
Nd2PaCo3O12
1.0
-2.650 5.605 -1.779
-6.226 -0.144 -1.680
-4.176 2.668 4.129
O Nd Co Pa
12 2 3 1
Direct
0.732 0.135 0.732
0.434 0.855 0.855
0.855 0.434 0.855
0.135 0.732 0.732
0.566 0.145 0.145
0.268 0.865 0.268
0.145 0.566 0.145
0.268 0.268 0.865
0.145 0.145 0.566
0.865 0.268 0.268
0.732 0.732 0.135
0.855 0.855 0.434
0.614 0.614 0.614
0.386 0.386 0.386
0.500 0.000 0.000
0.000 0.000 0.500
0.000 0.500 0.000
0.000 0.000 0.000
```

Output
space-group type = R-3m, No. 166
E_tot = -7.075 eV/atom
N(E_F) = 4.662 states/eV/cell